(1)
Here is an optimized crystal structure of SiMoCl2 from Alexandria. Energies are from PBE-GGA.

Output
E_form (uncorrected) ... -166 meV per atom
Magnetic moment ... 0.75 μB per formula unit
E above lowest polymorph ... 173 meV/atom

Unit cell a=7.502 b=7.502 c=4.187 alpha=81.42 beta=81.42 gamma=23.46
Last column: magnetic moment on the atom in μB.
Atoms (fractional coordinates):
Cl1 0.113 0.113 0.942  0.02
Cl2 0.387 0.387 0.558  0.02
Mo1 0.750 0.750 0.750  0.63
Si1 0.250 0.250 0.250  -0.02

***

(2)
Here is an optimized crystal structure of CeTm2Ga2Rh5 from Alexandria. Energies are from PBE-GGA.

Output
Total DFT energy (no corrections) ... -6.629 eV per atom
Magnetic moment ... 0.00 μB per formula unit

Unit cell a=3.673 b=9.849 c=9.849 alpha=90.00 beta=90.00 gamma=90.00
Atoms (fractional coordinates):
Ce1 0.000 0.000 0.000
Ce2 0.000 0.500 0.500
Tm1 0.000 0.670 0.170
Tm2 0.000 0.330 0.830
Tm3 0.000 0.170 0.330
Tm4 0.000 0.830 0.670
Ga1 0.000 0.125 0.625
Ga2 0.000 0.875 0.375
Ga3 0.000 0.625 0.875
Ga4 0.000 0.375 0.125
Rh1 0.500 0.208 0.070
Rh2 0.500 0.792 0.930
Rh3 0.500 0.070 0.792
Rh4 0.500 0.708 0.430
Rh5 0.500 0.930 0.208
Rh6 0.500 0.292 0.570
Rh7 0.500 0.570 0.708
Rh8 0.500 0.430 0.292
Rh9 0.500 0.500 0.000
Rh10 0.500 0.000 0.500

***

(3)
Here is an optimized crystal structure of LiNpCu2S4 from Alexandria. Energies are from PBE-GGA.

Output
E_form (uncorrected) ... -723 meV per atom
Magnetic moment ... 2.98 μB per formula unit

Unit cell a=6.360 b=5.667 c=5.667 alpha=68.25 beta=55.85 gamma=55.85
Last column: magnetic moment on the atom in μB.
Atoms (fractional coordinates):
Li1 0.000 0.000 0.000  0.00
Np1 0.500 0.500 0.500  3.43
Cu1 0.250 0.250 0.250  -0.06
Cu2 0.750 0.750 0.750  -0.06
S1 0.412 0.017 0.588  -0.09
S2 0.017 0.983 0.412  -0.09
S3 0.983 0.588 0.017  -0.09
S4 0.588 0.412 0.983  -0.09

***

(4)
Here is an optimized crystal structure of Tb2Ga3Ni4 from Alexandria. Energies are from PBE-GGA.

Output
Total DFT energy (no corrections) ... -5.153 eV per atom
Magnetic moment ... 0.00 μB per formula unit

Unit cell a=5.400 b=7.067 c=7.987 alpha=90.00 beta=109.76 gamma=90.00
Atoms (fractional coordinates):
Tb1 0.106 0.586 0.212
Tb2 0.894 0.414 0.788
Tb3 0.394 0.086 0.788
Tb4 0.606 0.914 0.212
Ga1 0.000 0.000 0.000
Ga2 0.500 0.500 0.000
Ga3 0.516 0.750 0.532
Ga4 0.984 0.250 0.468
Ga5 0.484 0.250 0.468
Ga6 0.016 0.750 0.532
Ni1 0.680 0.750 0.861
Ni2 0.820 0.250 0.139
Ni3 0.320 0.250 0.139
Ni4 0.180 0.750 0.861
Ni5 0.173 0.989 0.346
Ni6 0.827 0.011 0.654
Ni7 0.327 0.489 0.654
Ni8 0.673 0.511 0.346

***

(5)
Here is an optimized crystal structure of Sc3Co7Ni2 from Alexandria. Energies are from PBE-GGA.

Output
Total DFT energy (no corrections) ... -6.983 eV per atom
Magnetic moment ... 8.43 μB per formula unit

Unit cell a=4.798 b=4.798 c=8.469 alpha=73.54 beta=73.54 gamma=60.00
Last column: magnetic moment on the atom in μB.
Atoms (fractional coordinates):
Sc1 0.000 0.000 0.000  -0.23
Sc2 0.860 0.860 0.420  -0.31
Sc3 0.140 0.140 0.580  -0.31
Co1 0.500 0.500 0.500  1.12
Co2 0.920 0.415 0.250  1.33
Co3 0.415 0.920 0.250  1.33
Co4 0.415 0.415 0.250  1.33
Co5 0.080 0.585 0.750  1.33
Co6 0.585 0.585 0.750  1.33
Co7 0.585 0.080 0.750  1.33
Ni1 0.666 0.666 0.002  0.39
Ni2 0.334 0.334 0.998  0.39

***

(6)
Here is an optimized crystal structure of Li2ReTe from Alexandria. Energies are from PBE-GGA.

Output
E_form (uncorrected) ... 295 meV per atom
Magnetic moment ... 0.65 μB per formula unit
E above lowest polymorph ... 146 meV/atom

Unit cell a=5.404 b=5.404 c=4.374 alpha=66.16 beta=66.16 gamma=35.13
Last column: magnetic moment on the atom in μB.
Atoms (fractional coordinates):
Li1 0.001 0.001 0.999  0.00
Li2 0.499 0.499 0.501  0.00
Re1 0.750 0.750 0.750  0.54
Te1 0.250 0.250 0.250  0.01

***

(7)
Here is an optimized crystal structure of TbSmCu2 from Alexandria. Energies are from PBE-GGA.

Output
Magnetic moment ... 0.00 μB per formula unit
E above lowest polymorph ... 0 meV/atom

Unit cell a=3.819 b=4.498 c=5.572 alpha=90.00 beta=110.81 gamma=90.00
Atoms (fractional coordinates):
Tb1 0.442 0.500 0.424
Sm1 0.726 0.000 0.988
Cu1 0.153 0.500 0.841
Cu2 0.010 0.000 0.565

***

Q: The highest magnetic moment belongs to which entry?
A: Sc3Co7Ni2

***

What did the sixth record say?
Here is an optimized crystal structure of Li2ReTe from Alexandria. Energies are from PBE-GGA.

Output
E_form (uncorrected) ... 295 meV per atom
Magnetic moment ... 0.65 μB per formula unit
E above lowest polymorph ... 146 meV/atom

Unit cell a=5.404 b=5.404 c=4.374 alpha=66.16 beta=66.16 gamma=35.13
Last column: magnetic moment on the atom in μB.
Atoms (fractional coordinates):
Li1 0.001 0.001 0.999  0.00
Li2 0.499 0.499 0.501  0.00
Re1 0.750 0.750 0.750  0.54
Te1 0.250 0.250 0.250  0.01